Entry 1:
# PBEsol Sc2WCl, relaxed
data_Sc2WCl
_chemical_formula_sum 'Sc4 W2 Cl2'
_space_group_name_H-M_alt 'C 1 2/m 1'
_space_group_IT_number 12
_space_group_name_Hall '-C 2y'
_cell_length_a 5.100
_cell_length_b 3.455
_cell_length_c 8.362
_cell_angle_alpha 90.00
_cell_angle_beta 102.11
_cell_angle_gamma 90.00
loop_
_atom_site_label
_atom_site_fract_x
_atom_site_fract_y
_atom_site_fract_z
_atom_site_occupancy
Sc1 0.075 0.000 0.251 1
W1 0.000 0.500 0.000 1
Cl1 0.000 0.500 0.500 1
# Formation energy without anion corrections ... -462 meV/atom

---

Entry 2:
# PBEsol ScWCl, relaxed
data_ScWCl
_chemical_formula_sum 'Sc1 W1 Cl1'
_space_group_name_H-M_alt 'P 3 m 1'
_space_group_IT_number 156
_space_group_name_Hall 'P 3 -2"'
_cell_length_a 3.0465
_cell_length_b 3.0465
_cell_length_c 7.3346
_cell_angle_alpha 90.00
_cell_angle_beta 90.00
_cell_angle_gamma 120.00
loop_
_atom_site_label
_atom_site_fract_x
_atom_site_fract_y
_atom_site_fract_z
_atom_site_occupancy
Sc1 0.0000 0.0000 0.0000 1
W1 0.3333 0.6667 0.6999 1
Cl1 0.6667 0.3333 0.2431 1
# Formation energy without anion corrections ... -77 meV/atom

---

Entry 3:
# PBEsol YScCl2, relaxed
data_YScCl2
_chemical_formula_sum 'Y3 Sc3 Cl6'
_space_group_name_H-M_alt 'R -3 m'
_space_group_IT_number 166
_space_group_name_Hall '-R 3 2"'
_cell_length_a 3.4013
_cell_length_b 3.4013
_cell_length_c 26.7085
_cell_angle_alpha 90.00
_cell_angle_beta 90.00
_cell_angle_gamma 120.00
loop_
_atom_site_label
_atom_site_fract_x
_atom_site_fract_y
_atom_site_fract_z
_atom_site_occupancy
Y1 0.0000 0.0000 0.0000 1
Sc1 0.0000 0.0000 0.5000 1
Cl1 0.0000 0.0000 0.1028 1
# Formation energy without anion corrections ... -1227 meV/atom

---

Entry 4:
# PBEsol Y4ScCl, relaxed
data_Y4ScCl
_chemical_formula_sum 'Y16 Sc4 Cl4'
_space_group_name_H-M_alt 'F -4 3 m'
_space_group_IT_number 216
_space_group_name_Hall 'F -4 2 3'
_cell_length_a 9.047
_cell_length_b 9.047
_cell_length_c 9.047
_cell_angle_alpha 90.00
_cell_angle_beta 90.00
_cell_angle_gamma 90.00
loop_
_atom_site_label
_atom_site_fract_x
_atom_site_fract_y
_atom_site_fract_z
_atom_site_occupancy
Y1 0.123 0.123 0.123 1
Sc1 0.250 0.250 0.750 1
Cl1 0.000 0.000 0.500 1
# Formation energy without anion corrections ... 374 meV/atom

---

Entry 5:
# PBEsol YSc2Cl, relaxed
data_YSc2Cl
_chemical_formula_sum 'Y2 Sc4 Cl2'
_space_group_name_H-M_alt 'A m m 2'
_space_group_IT_number 38
_space_group_name_Hall 'A 2 -2'
_cell_length_a 3.304
_cell_length_b 4.581
_cell_length_c 11.699
_cell_angle_alpha 90.00
_cell_angle_beta 90.00
_cell_angle_gamma 90.00
loop_
_atom_site_label
_atom_site_fract_x
_atom_site_fract_y
_atom_site_fract_z
_atom_site_occupancy
Y1 0.000 0.000 0.000 1
Sc1 0.000 0.000 0.278 1
Sc2 0.500 0.000 0.684 1
Cl1 0.500 0.000 0.465 1
# Formation energy without anion corrections ... -538 meV/atom

---

Entry 6:
# PBEsol Y2ScCl, relaxed
data_Y2ScCl
_chemical_formula_sum 'Y4 Sc2 Cl2'
_space_group_name_H-M_alt 'I 4/m m m'
_space_group_IT_number 139
_space_group_name_Hall '-I 4 2'
_cell_length_a 4.626
_cell_length_b 4.626
_cell_length_c 9.659
_cell_angle_alpha 90.00
_cell_angle_beta 90.00
_cell_angle_gamma 90.00
loop_
_atom_site_label
_atom_site_fract_x
_atom_site_fract_y
_atom_site_fract_z
_atom_site_occupancy
Y1 0.000 0.500 0.250 1
Sc1 0.000 0.000 0.000 1
Cl1 0.000 0.000 0.500 1
# Formation energy without anion corrections ... -33 meV/atom

---

Entry 7:
# PBEsol YSc2Cl, relaxed
data_YSc2Cl
_chemical_formula_sum 'Y1 Sc2 Cl1'
_space_group_name_H-M_alt 'P 4/m m m'
_space_group_IT_number 123
_space_group_name_Hall '-P 4 2'
_cell_length_a 3.246
_cell_length_b 3.246
_cell_length_c 8.714
_cell_angle_alpha 90.00
_cell_angle_beta 90.00
_cell_angle_gamma 90.00
loop_
_atom_site_label
_atom_site_fract_x
_atom_site_fract_y
_atom_site_fract_z
_atom_site_occupancy
Y1 0.000 0.000 0.000 1
Sc1 0.500 0.500 0.276 1
Cl1 0.000 0.000 0.500 1
# Formation energy without anion corrections ... -442 meV/atom

---

Entry 8:
# PBEsol YSc2Cl, relaxed
data_YSc2Cl
_chemical_formula_sum 'Y2 Sc4 Cl2'
_space_group_name_H-M_alt 'I m m m'
_space_group_IT_number 71
_space_group_name_Hall '-I 2 2'
_cell_length_a 3.196
_cell_length_b 5.398
_cell_length_c 10.461
_cell_angle_alpha 90.00
_cell_angle_beta 90.00
_cell_angle_gamma 90.00
loop_
_atom_site_label
_atom_site_fract_x
_atom_site_fract_y
_atom_site_fract_z
_atom_site_occupancy
Y1 0.000 0.000 0.000 1
Sc1 0.000 0.500 0.212 1
Cl1 0.000 0.000 0.500 1
# Formation energy without anion corrections ... -447 meV/atom